(1)
DFT (PBE) results for crystalline Zn2AgMo at its relaxed geometry. Values from VASP.

Total moment in μB/atom: 0.000
VASP energy in eV per atom: -3.793
ΔE_f in eV per atom: 0.265

Cell and atoms, written as Quantum ESPRESSO input:
```
&SYSTEM
  ibrav = 0, nat = 4, ntyp = 3
/
ATOMIC_SPECIES
Zn 65.41 Zn.upf
Ag 107.87 Ag.upf
Mo 95.94 Mo.upf
ATOMIC_POSITIONS angstrom
Zn 0.000 0.000 0.000
Zn 1.369 2.017 1.472
Ag 0.000 0.000 2.819
Mo 1.369 2.017 4.394
CELL_PARAMETERS angstrom
2.738 0.000 0.000
0.000 4.034 0.000
0.000 0.000 5.665
```

(2)
DFT (PBE) results for crystalline Zn6CuAu5 at its relaxed geometry. Values from VASP.

Total moment in μB/atom: 0.000
VASP energy in eV per atom: -2.525
ΔE_f in eV per atom: -0.181

Cell and atoms, written as Quantum ESPRESSO input:
```
&SYSTEM
  ibrav = 0, nat = 12, ntyp = 3
/
ATOMIC_SPECIES
Zn 65.41 Zn.upf
Cu 63.55 Cu.upf
Au 196.97 Au.upf
ATOMIC_POSITIONS angstrom
Zn 4.275 1.630 1.432
Zn 7.031 1.647 0.000
Zn 8.386 1.630 2.786
Zn 4.275 -1.630 1.432
Zn 7.031 -1.647 0.000
Zn 8.386 -1.630 2.786
Cu -0.701 0.000 2.109
Au 2.084 0.000 0.689
Au 3.491 0.000 3.513
Au 6.331 0.000 2.109
Au 9.170 0.000 0.704
Au 10.578 0.000 3.529
CELL_PARAMETERS angstrom
7.031 -3.200 0.000
7.031 3.200 0.000
-1.401 0.000 4.218
```

(3)
DFT (PBE) results for crystalline PrPuGe2 at its relaxed geometry. Values from VASP.

Total moment in μB/atom: 1.389
VASP energy in eV per atom: -7.593
ΔE_f in eV per atom: -0.507

Cell and atoms, written as Quantum ESPRESSO input:
```
&SYSTEM
  ibrav = 0, nat = 4, ntyp = 3
/
ATOMIC_SPECIES
Pr 140.91 Pr.upf
Pu 244.00 Pu.upf
Ge 72.64 Ge.upf
ATOMIC_POSITIONS angstrom
Pr 0.000 0.000 0.000
Pu 0.000 0.000 4.162
Ge 1.684 1.684 2.151
Ge 1.684 1.684 6.174
CELL_PARAMETERS angstrom
3.368 0.000 0.000
0.000 3.368 0.000
0.000 0.000 8.325
```

(4)
DFT (PBE) results for crystalline Tb3ErSe4 at its relaxed geometry. Values from VASP.

Total moment in μB/atom: 0.000
Raw formation energy in meV/atom: -1755
VASP energy in eV per atom: -5.804

Cell and atoms, written as Quantum ESPRESSO input:
```
&SYSTEM
  ibrav = 0, nat = 16, ntyp = 3
/
ATOMIC_SPECIES
Tb 158.93 Tb.upf
Er 167.26 Er.upf
Se 78.96 Se.upf
ATOMIC_POSITIONS angstrom
Tb -0.583 1.000 1.674
Tb -1.750 3.019 5.021
Tb -0.583 5.056 1.674
Tb -1.750 7.074 5.021
Tb 1.804 1.002 5.021
Tb 2.970 7.072 1.674
Er 2.970 3.018 1.674
Er 1.804 5.056 5.021
Se 1.785 1.026 0.014
Se 0.619 7.049 3.361
Se 0.638 3.046 3.346
Se -0.528 5.029 6.694
Se 5.302 3.046 0.001
Se 4.136 5.029 3.349
Se 4.155 1.026 3.334
Se 2.989 7.049 6.681
CELL_PARAMETERS angstrom
7.107 0.000 0.000
0.000 8.074 0.000
-2.333 0.000 6.695
```

(5)
DFT (PBE) results for crystalline Pm4Mg2H at its relaxed geometry. Values from VASP.

Total moment in μB/atom: 0.000
VASP energy in eV per atom: -3.648

Cell and atoms, written as Quantum ESPRESSO input:
```
&SYSTEM
  ibrav = 0, nat = 7, ntyp = 3
/
ATOMIC_SPECIES
Pm 145.00 Pm.upf
Mg 24.30 Mg.upf
H 1.01 H.upf
ATOMIC_POSITIONS angstrom
Pm 2.458 0.000 0.000
Pm 0.000 0.000 2.718
Pm 0.000 2.458 0.000
Pm 0.000 0.000 13.545
Mg 0.000 0.000 5.952
Mg 0.000 0.000 10.311
H 0.000 0.000 0.000
CELL_PARAMETERS angstrom
-2.458 2.458 8.131
2.458 -2.458 8.131
2.458 2.458 -8.131
```

(6)
DFT (PBE) results for crystalline BaTc2Ir at its relaxed geometry. Values from VASP.

Total moment in μB/atom: 0.000
VASP energy in eV per atom: -6.910
ΔE_f in eV per atom: 0.969

Cell and atoms, written as Quantum ESPRESSO input:
```
&SYSTEM
  ibrav = 0, nat = 4, ntyp = 3
/
ATOMIC_SPECIES
Ba 137.33 Ba.upf
Tc 98.00 Tc.upf
Ir 192.22 Ir.upf
ATOMIC_POSITIONS angstrom
Ba 0.000 0.000 0.000
Tc 0.000 0.000 7.262
Tc 0.000 0.000 23.634
Ir 0.000 0.000 15.448
CELL_PARAMETERS angstrom
1.458 0.842 10.299
-1.458 0.842 10.299
0.000 -1.684 10.299
```

(7)
DFT (PBE) results for crystalline PuTaMoOs at its relaxed geometry. Values from VASP.

Total moment in μB/atom: 0.993
VASP energy in eV per atom: -12.063
ΔE_f in eV per atom: -0.001

Cell and atoms, written as Quantum ESPRESSO input:
```
&SYSTEM
  ibrav = 0, nat = 4, ntyp = 4
/
ATOMIC_SPECIES
Pu 244.00 Pu.upf
Ta 180.95 Ta.upf
Mo 95.94 Mo.upf
Os 190.23 Os.upf
ATOMIC_POSITIONS angstrom
Pu 0.000 0.000 0.000
Ta 3.284 3.284 3.284
Mo 1.642 1.642 1.642
Os 4.925 4.925 4.925
CELL_PARAMETERS angstrom
0.000 3.284 3.284
3.284 0.000 3.284
3.284 3.284 0.000
```

(8)
DFT (PBE) results for crystalline Sm2HfSi3Ir4 at its relaxed geometry. Values from VASP.

Total moment in μB/atom: 0.000
Raw formation energy in meV/atom: -1019
VASP energy in eV per atom: -8.129

Cell and atoms, written as Quantum ESPRESSO input:
```
&SYSTEM
  ibrav = 0, nat = 10, ntyp = 4
/
ATOMIC_SPECIES
Sm 150.36 Sm.upf
Hf 178.49 Hf.upf
Si 28.09 Si.upf
Ir 192.22 Ir.upf
ATOMIC_POSITIONS angstrom
Sm 0.000 2.063 2.506
Sm 2.063 0.000 8.173
Hf 0.000 0.000 5.339
Si 0.000 2.063 9.373
Si 2.063 0.000 1.305
Si 2.063 2.063 5.339
Ir 0.000 0.000 0.000
Ir 0.000 2.063 6.941
Ir 2.063 0.000 3.738
Ir 2.063 2.063 0.000
CELL_PARAMETERS angstrom
4.126 0.000 0.000
0.000 4.126 0.000
0.000 0.000 10.678
```

(9)
DFT (PBE) results for crystalline Sc6In2Tc at its relaxed geometry. Values from VASP.

Total moment in μB/atom: 0.000
VASP energy in eV per atom: -6.296
ΔE_f in eV per atom: -0.315

Cell and atoms, written as Quantum ESPRESSO input:
```
&SYSTEM
  ibrav = 0, nat = 9, ntyp = 3
/
ATOMIC_SPECIES
Sc 44.96 Sc.upf
In 114.82 In.upf
Tc 98.00 Tc.upf
ATOMIC_POSITIONS angstrom
Sc -1.537 2.663 0.000
Sc -3.043 5.271 1.803
Sc 0.997 1.726 1.803
Sc 3.074 0.000 0.000
Sc 2.502 4.334 0.000
Sc 6.086 0.000 1.803
In 0.000 4.664 1.803
In 4.039 2.332 1.803
Tc 0.000 0.000 0.000
CELL_PARAMETERS angstrom
8.079 0.000 0.000
-4.039 6.997 0.000
0.000 0.000 3.607
```

(10)
DFT (PBE) results for crystalline NiIr3S at its relaxed geometry. Values from VASP.

Total moment in μB/atom: 0.835
Raw formation energy in meV/atom: 1874
VASP energy in eV per atom: -5.424

Cell and atoms, written as Quantum ESPRESSO input:
```
&SYSTEM
  ibrav = 0, nat = 5, ntyp = 3
/
ATOMIC_SPECIES
Ni 58.69 Ni.upf
Ir 192.22 Ir.upf
S 32.06 S.upf
ATOMIC_POSITIONS angstrom
Ni 0.000 0.000 0.000
Ir 0.000 0.000 2.250
Ir 0.000 2.250 0.000
Ir 2.250 0.000 0.000
S 2.250 2.250 2.250
CELL_PARAMETERS angstrom
4.500 0.000 0.000
0.000 4.500 0.000
0.000 0.000 4.500
```

(11)
DFT (PBE) results for crystalline Si5Pb at its relaxed geometry. Values from VASP.

Total moment in μB/atom: 0.000
Raw formation energy in meV/atom: 625
VASP energy in eV per atom: -4.512

Cell and atoms, written as Quantum ESPRESSO input:
```
&SYSTEM
  ibrav = 0, nat = 6, ntyp = 2
/
ATOMIC_SPECIES
Si 28.09 Si.upf
Pb 207.20 Pb.upf
ATOMIC_POSITIONS angstrom
Si 0.000 0.000 0.000
Si 4.734 2.820 2.820
Si 2.820 4.734 2.820
Si 2.820 2.820 4.734
Si 4.734 4.734 4.734
Pb 1.888 1.888 1.888
CELL_PARAMETERS angstrom
0.000 3.777 3.777
3.777 0.000 3.777
3.777 3.777 0.000
```

(12)
DFT (PBE) results for crystalline Cd4In2Hg2Bi at its relaxed geometry. Values from VASP.

Total moment in μB/atom: 0.000
VASP energy in eV per atom: -1.455
ΔE_f in eV per atom: 0.058

Cell and atoms, written as Quantum ESPRESSO input:
```
&SYSTEM
  ibrav = 0, nat = 9, ntyp = 4
/
ATOMIC_SPECIES
Cd 112.41 Cd.upf
In 114.82 In.upf
Hg 200.59 Hg.upf
Bi 208.98 Bi.upf
ATOMIC_POSITIONS angstrom
Cd 0.000 0.000 0.000
Cd 0.000 0.000 5.141
Cd 1.654 0.955 7.657
Cd 1.654 0.955 12.803
In 1.654 0.955 15.875
In 1.654 0.955 21.914
Hg 0.000 0.000 10.216
Hg 1.654 0.955 2.576
Bi 0.000 0.000 18.845
CELL_PARAMETERS angstrom
3.307 0.000 0.000
-1.654 2.864 0.000
0.000 0.000 24.674
```